Material: MgTi2Se2
Method: DFT, meta-GGA SCAN
State: single point on PBEsol structure

ΔE_f (raw) (meV per atom): -659
Fermi-level density of states (states/eV/f.u.): 2.47

```
MgTi2Se2
1.0
3.993 0.000 0.000
0.000 3.993 0.000
-1.997 -1.997 6.089
Se Ti Mg
2 2 1
direct
0.620 0.620 0.241
0.380 0.380 0.759
0.250 0.750 0.500
0.750 0.250 0.500
0.000 0.000 0.000
```